DFT (GGA-PBE) results for Dy2Fe15Co2C after structural relaxation.

Lattice parameters (Å, degrees): 6.432 6.432 6.394 96.85 96.85 83.41
Sites, in units of the cell vectors:
Dy1 0.161 0.161 0.349
Dy2 0.839 0.839 0.651
Fe1 0.000 0.500 0.000
Fe2 0.156 0.649 0.345
Fe3 0.157 0.157 0.847
Fe4 0.212 0.502 0.712
Fe5 0.213 0.787 0.000
Fe6 0.351 0.844 0.655
Fe7 0.498 0.788 0.288
Fe8 0.500 0.000 0.000
Fe9 0.500 0.500 0.500
Fe10 0.502 0.212 0.712
Fe11 0.649 0.156 0.345
Fe12 0.787 0.213 0.000
Fe13 0.788 0.498 0.288
Fe14 0.843 0.843 0.153
Fe15 0.844 0.351 0.655
Co1 0.406 0.406 0.095
Co2 0.594 0.594 0.905
C1 0.000 0.000 0.000

DFT (GGA-PBE) results for Dy2Ga3Co5C2 after structural relaxation.

Lattice parameters (Å, degrees): 11.345 11.345 11.345 160.44 160.44 27.80
Sites, in units of the cell vectors:
Dy1 0.198 0.198 0.000
Dy2 0.802 0.802 0.000
Ga1 0.346 0.346 0.000
Ga2 0.500 0.500 0.000
Ga3 0.654 0.654 0.000
Co1 0.000 0.000 0.000
Co2 0.081 0.581 0.500
Co3 0.419 0.919 0.500
Co4 0.581 0.081 0.500
Co5 0.919 0.419 0.500
C1 0.086 0.086 0.000
C2 0.914 0.914 0.000

DFT (GGA-PBE) results for DyCo2GeC after structural relaxation.

Lattice parameters (Å, degrees): 5.647 5.647 6.854 90.00 90.00 141.11
Sites, in units of the cell vectors:
Dy1 0.050 0.950 0.750
Dy2 0.950 0.050 0.250
Co1 0.340 0.660 0.556
Co2 0.340 0.660 0.944
Co3 0.660 0.340 0.056
Co4 0.660 0.340 0.444
Ge1 0.229 0.771 0.250
Ge2 0.771 0.229 0.750
C1 0.500 0.500 0.000
C2 0.500 0.500 0.500

DFT (GGA-PBE) results for Dy2CoHgC after structural relaxation.

Lattice parameters (Å, degrees): 5.069 5.069 3.677 90.00 90.00 90.00
Sites, in units of the cell vectors:
Dy1 0.000 0.500 0.000
Dy2 0.500 0.000 0.000
Co1 0.000 0.000 0.500
Hg1 0.500 0.500 0.500
C1 0.000 0.000 0.000

Number 1: ΔE_f -37 meV per atom, DFT total energy -8.0157 eV/atom. Number 2: ΔE_f -258 meV per atom, DFT total energy -6.2799 eV/atom. Number 3: ΔE_f -488 meV per atom, DFT total energy -7.0191 eV/atom. Number 4: ΔE_f -406 meV per atom, DFT total energy -5.5730 eV/atom.